# 1
RbBaCoCu2: relaxed, GGA-PBE.

Cell: 5.698 5.698 5.625 Å, 90.00 90.00 90.00°
Space group P4/mmm (No. 123)
Asymmetric unit:
Rb 0.000 0.000 0.000
Ba 0.500 0.500 0.500
Co 0.000 0.000 0.500
Cu 0.000 0.500 0.000

Computed properties:
DFT formation energy ... 6.4 eV per formula unit
V ... 36.52 A^3/atom
Total magnetic moment ... 2.01 μB per cell

# 2
MgCrBi: relaxed, GGA-PBE.

Cell: 4.449 4.449 6.743 Å, 90.00 90.00 90.00°
Space group P4/nmm (No. 129, origin choice 2)
Asymmetric unit:
Mg 0.250 0.250 0.220
Cr 0.250 0.750 0.500
Bi 0.250 0.250 0.770

Computed properties:
DFT formation energy ... 0.5 eV per formula unit
V ... 22.25 A^3/atom
Total magnetic moment ... 5.95 μB per cell